[1]
Below is TaBeFe after structural relaxation, with properties calculated at the PBE level.

a = 3.8406 Å, b = 3.8406 Å, c = 2.9218 Å
α = 90.00°, β = 90.00°, γ = 120.00°
Space group P3m1 (No. 156)
Inequivalent atoms, fractional coordinates:
Ta  0.0000  0.0000  0.0000 [1 per cell]
Be  0.3333  0.6667  0.4996 [1 per cell]
Fe  0.6667  0.3333  0.5013 [1 per cell]

Magnetization (μB per cell): 0.0
ΔE to the lowest computed polymorph (eV/atom): 0.216
DFT formation energy (kJ/mol of atoms): -2.5

[2]
Below is TaBeFe3 after structural relaxation, with properties calculated at the PBE level.

a = 3.855 Å, b = 3.855 Å, c = 3.855 Å
α = 90.00°, β = 90.00°, γ = 90.00°
Space group Pm-3m (No. 221)
Inequivalent atoms, fractional coordinates:
Ta  0.000  0.000  0.000 [1 per cell]
Be  0.500  0.500  0.500 [1 per cell]
Fe  0.000  0.500  0.500 [3 per cell]

Magnetization (μB per cell): 0.0
ΔE to the lowest computed polymorph (eV/atom): 0.000
DFT formation energy (kJ/mol of atoms): 23.0

[3]
Below is Ta2Be2Fe after structural relaxation, with properties calculated at the PBE level.

a = 6.111 Å, b = 6.111 Å, c = 3.312 Å
α = 90.00°, β = 90.00°, γ = 90.00°
Space group P4/mbm (No. 127)
Inequivalent atoms, fractional coordinates:
Ta  0.176  0.324  0.000 [4 per cell]
Be  0.122  0.622  0.500 [4 per cell]
Fe  0.000  0.000  0.500 [2 per cell]

Magnetization (μB per cell): 0.0
DFT formation energy (kJ/mol of atoms): -22.1

[4]
Below is TaBe4Fe after structural relaxation, with properties calculated at the PBE level.

a = 6.164 Å, b = 6.164 Å, c = 6.164 Å
α = 90.00°, β = 90.00°, γ = 90.00°
Space group F-43m (No. 216)
Inequivalent atoms, fractional coordinates:
Ta  0.000  0.000  0.000 [4 per cell]
Be  0.125  0.125  0.375 [16 per cell]
Fe  0.250  0.250  0.750 [4 per cell]

Magnetization (μB per cell): 0.0
DFT formation energy (kJ/mol of atoms): -24.0

[5]
Below is TaBeFe after structural relaxation, with properties calculated at the PBE level.

a = 4.7199 Å, b = 4.7199 Å, c = 34.4593 Å
α = 90.00°, β = 90.00°, γ = 120.00°
Space group R-3m (No. 166, hexagonal axes)
Inequivalent atoms, fractional coordinates:
Ta  0.0000  0.0000  0.0414 [6 per cell]
Ta  0.0000  0.0000  0.1806 [6 per cell]
Ta  0.0000  0.0000  0.2651 [6 per cell]
Be  0.0000  0.0000  0.3867 [6 per cell]
Be  0.0000  0.0000  0.5000 [3 per cell]
Be  0.0000  0.5000  0.0000 [9 per cell]
Fe  0.9998  0.4999  0.2229 [18 per cell]

Magnetization (μB per cell): 21.9
ΔE to the lowest computed polymorph (eV/atom): 0.000
DFT formation energy (kJ/mol of atoms): -23.4

[6]
Below is TaBeFe2 after structural relaxation, with properties calculated at the PBE level.

a = 6.340 Å, b = 6.340 Å, c = 4.844 Å
α = 90.00°, β = 90.00°, γ = 90.00°
Space group I-42d (No. 122)
Inequivalent atoms, fractional coordinates:
Ta  0.000  0.000  0.000 [4 per cell]
Be  0.000  0.000  0.500 [4 per cell]
Fe  0.185  0.250  0.625 [8 per cell]

Magnetization (μB per cell): 4.4
DFT formation energy (kJ/mol of atoms): 37.1

[7]
Below is TaBeFe2 after structural relaxation, with properties calculated at the PBE level.

a = 3.435 Å, b = 4.055 Å, c = 7.008 Å
α = 90.00°, β = 90.00°, γ = 90.00°
Space group Cmmm (No. 65)
Inequivalent atoms, fractional coordinates:
Ta  0.000  0.000  0.000 [2 per cell]
Be  0.000  0.000  0.500 [2 per cell]
Fe  0.000  0.500  0.296 [4 per cell]

Magnetization (μB per cell): 7.3
DFT formation energy (kJ/mol of atoms): 0.9

[8]
Below is TaBe2Fe2 after structural relaxation, with properties calculated at the PBE level.

a = 6.434 Å, b = 6.434 Å, c = 2.677 Å
α = 90.00°, β = 90.00°, γ = 90.00°
Space group P4/mbm (No. 127)
Inequivalent atoms, fractional coordinates:
Ta  0.000  0.000  0.000 [2 per cell]
Be  0.153  0.347  0.500 [4 per cell]
Fe  0.139  0.639  0.000 [4 per cell]

Magnetization (μB per cell): 1.6
ΔE to the lowest computed polymorph (eV/atom): 0.176
DFT formation energy (kJ/mol of atoms): 3.9